# 1
A plane-wave DFT calculation with PBE was carried out for a geometry-optimized BaTa2Cd structure.

Cell: 5.0184 5.0184 5.0184 Å, 60.00 60.00 60.00°
Last column: nearest neighbours and their distance in Å.
Element x y z (fractional)
1 Ta 0.2500 0.2500 0.2500  4 Ba 3.07, 4 Cd 3.07
2 Ta 0.7500 0.7500 0.7500  4 Cd 3.07, 4 Ba 3.07
3 Ba 0.5000 0.5000 0.5000  8 Ta 3.07
4 Cd 0.0000 0.0000 0.0000  8 Ta 3.07

Output
space group = Fm-3m, No. 225
M_tot = 0.000 Bohr magnetons per cell
total energy = -21.2 eV for the cell shown
DOS at the Fermi energy = 6.28 states/eV/f.u.
energy above the lowest structure with this stoichiometry = 894.2 meV/atom

---

# 2
A plane-wave DFT calculation with PBE was carried out for a geometry-optimized BaTa2Cd structure.

Cell: 5.9111 5.9111 5.9497 Å, 79.60 79.60 30.04°
Last column: nearest neighbours and their distance in Å.
Element x y z (fractional)
1 Ba 0.7500 0.7500 0.7500  2 Ba 3.06, 4 Cd 3.35
2 Cd 0.2500 0.2500 0.2500  4 Ta 2.98, 2 Cd 3.06
3 Ta 0.5270 0.5270 0.4210  2 Ta 2.71, 2 Cd 2.98
4 Ta 0.9730 0.9730 0.0790  2 Ta 2.71, 2 Cd 2.98

Output
space group = C2/m, No. 12
M_tot = 0.000 Bohr magnetons per cell
total energy = -23.5 eV for the cell shown
DOS at the Fermi energy = 2.49 states/eV/f.u.
energy above the lowest structure with this stoichiometry = 318.3 meV/atom

---

# 3
A plane-wave DFT calculation with PBE was carried out for a geometry-optimized Ba2TaCd structure.

Cell: 5.8633 5.8633 5.8633 Å, 60.00 60.00 60.00°
Last column: nearest neighbours and their distance in Å.
Element x y z (fractional)
1 Cd 0.0000 0.0000 0.0000  8 Ba 3.59
2 Ta 0.5000 0.5000 0.5000  8 Ba 3.59
3 Ba 0.2500 0.2500 0.2500  4 Cd 3.59, 4 Ta 3.59
4 Ba 0.7500 0.7500 0.7500  4 Ta 3.59, 4 Cd 3.59

Output
space group = Fm-3m, No. 225
M_tot = 3.145 Bohr magnetons per cell
total energy = -13.5 eV for the cell shown
DOS at the Fermi energy = 3.62 states/eV/f.u.
energy above the lowest structure with this stoichiometry = 201.8 meV/atom

---

# 4
A plane-wave DFT calculation with PBE was carried out for a geometry-optimized Ba2TaCd structure.

Cell: 4.0348 4.0591 9.5373 Å, 64.79 90.00 90.00°
Last column: nearest neighbours and their distance in Å.
Element x y z (fractional)
1 Ba 0.0000 0.0138 0.9863  4 Ta 3.51, 4 Cd 3.66
2 Ba 0.0000 0.4862 0.5137  4 Ta 3.51, 4 Cd 3.66
3 Ta 0.5000 0.7500 0.7500  8 Ba 3.51
4 Cd 0.5000 0.2500 0.2500  8 Ba 3.66, 4 Cd 4.03-4.06

Output
space group = Pmmm, No. 47
M_tot = 2.735 Bohr magnetons per cell
total energy = -13.7 eV for the cell shown
DOS at the Fermi energy = 3.76 states/eV/f.u.
energy above the lowest structure with this stoichiometry = 136.0 meV/atom

---

# 5
A plane-wave DFT calculation with PBE was carried out for a geometry-optimized Ba2TaCd structure.

Cell: 3.3380 9.1407 6.7078 Å, 42.11 90.00 90.00°
Last column: nearest neighbours and their distance in Å.
Element x y z (fractional)
1 Cd 0.5000 0.5000 0.5000  2 Cd 3.34, 6 Ba 3.35-3.49
2 Ba 0.0000 0.0000 0.0000  2 Ba 3.34, 2 Ta 3.35, 4 Cd 3.49
3 Ba 0.5000 0.5000 0.0000  2 Ba 3.34, 2 Cd 3.35, 4 Ta 3.49
4 Ta 0.0000 0.0000 0.5000  2 Ta 3.34, 6 Ba 3.35-3.49

Output
space group = P2/m, No. 10
M_tot = 0.944 Bohr magnetons per cell
total energy = -13.0 eV for the cell shown
DOS at the Fermi energy = 5.33 states/eV/f.u.
energy above the lowest structure with this stoichiometry = 315.3 meV/atom

---

# 6
A plane-wave DFT calculation with PBE was carried out for a geometry-optimized BaTaCd3 structure.

Cell: 5.5057 5.5057 5.5057 Å, 90.00 90.00 90.00°
Last column: nearest neighbours and their distance in Å.
Element x y z (fractional)
1 Cd 0.0000 0.0000 0.5000  2 Ta 2.75
2 Cd 0.5000 0.0000 0.0000  2 Ta 2.75
3 Cd 0.0000 0.5000 0.0000  2 Ta 2.75
4 Ta 0.0000 0.0000 0.0000  6 Cd 2.75
5 Ba 0.5000 0.5000 0.5000  12 Cd 3.89

Output
space group = Pm-3m, No. 221
M_tot = 2.508 Bohr magnetons per cell
total energy = -14.2 eV for the cell shown
DOS at the Fermi energy = 4.91 states/eV/f.u.
energy above the lowest structure with this stoichiometry = 0.0 meV/atom

---

# 7
A plane-wave DFT calculation with PBE was carried out for a geometry-optimized BaTa2Cd structure.

Cell: 3.0967 5.4401 5.6195 Å, 90.00 90.00 90.00°
Last column: nearest neighbours and their distance in Å.
Element x y z (fractional)
1 Ta 0.0000 0.0000 0.0000  6 Ta 3.10-3.13, 4 Ba 3.21
2 Ta 0.5000 0.5000 0.0000  6 Ta 3.10-3.13, 4 Cd 3.21
3 Cd 0.0000 0.5000 0.5000  2 Cd 3.10, 4 Ba 3.13, 4 Ta 3.21
4 Ba 0.5000 0.0000 0.5000  2 Ba 3.10, 4 Cd 3.13, 4 Ta 3.21

Output
space group = Pmmm, No. 47
M_tot = 0.000 Bohr magnetons per cell
total energy = -22.7 eV for the cell shown
DOS at the Fermi energy = 5.34 states/eV/f.u.
energy above the lowest structure with this stoichiometry = 517.0 meV/atom

---

# 8
A plane-wave DFT calculation with PBE was carried out for a geometry-optimized BaTa2Cd structure.

Cell: 3.0287 3.0287 10.4099 Å, 90.00 90.00 90.00°
Last column: nearest neighbours and their distance in Å.
Element x y z (fractional)
1 Ta 0.0000 0.0000 0.0046  8 Ta 2.98-3.03, 4 Cd 3.11
2 Ta 0.5000 0.5000 0.2034  8 Ta 2.98-3.03
3 Ba 0.0000 0.0000 0.5037  4 Ba 3.03
4 Cd 0.5000 0.5000 0.7883  4 Cd 3.03, 4 Ta 3.11

Output
space group = P4mm, No. 99
M_tot = 0.000 Bohr magnetons per cell
total energy = -24.3 eV for the cell shown
DOS at the Fermi energy = 4.96 states/eV/f.u.
energy above the lowest structure with this stoichiometry = 129.9 meV/atom